Computed, not measured: Hf12Sb6P after structural relaxation at the PBE level of DFT.

Values from the calculation:
For the total energy, the calculation gives -154.7 eV per formula unit.

Cell lengths 11.9375, 11.9375, 10.9802 Å; angles 90.00, 90.00, 120.00 degrees
Closest atoms and distances in Å follow each position.
Space group R-3 (No. 148, hexagonal axes)
Inequivalent atoms, fractional coordinates:
Hf: 0.0348 0.1720 0.3776 (multiplicity 18)  4 Sb 2.86-3.18, 1 Hf 3.05
Hf: 0.0673 0.1849 0.8577 (multiplicity 18)  1 P 2.49
Sb: 0.0286 0.4115 0.2998 (multiplicity 18)  6 Hf 2.81-3.07
P: 0.0000 0.0000 0.0000 (multiplicity 3)  6 Hf 2.49